# 1
# Y3AlAs

A crystal of Y3AlAs relaxed with PBEsol (meta-GGA SCAN, the Alexandria database).

Structure (POSCAR):
```
Y3AlAs
1.0
5.271 0.000 0.000
0.000 5.271 0.000
0.000 0.000 5.271
Y Al As
3 1 1
Cartesian
0.000 0.000 2.636
0.000 2.636 0.000
2.636 0.000 0.000
2.636 2.636 2.636
0.000 0.000 0.000
```

DFT total energy = -22.8249 eV per atom
Symmetry = No. 221
Total magnetic moment = 0.000 μB per formula unit



# 2
# YAlAs2

A crystal of YAlAs2 relaxed with PBEsol (meta-GGA SCAN, the Alexandria database).

Structure (POSCAR):
```
YAlAs2
1.0
2.191 1.265 4.792
-2.191 1.265 4.792
0.000 -2.530 4.792
Y Al As
1 1 2
Cartesian
0.000 0.000 0.000
0.000 0.000 7.188
0.000 0.000 3.256
0.000 0.000 11.120
```

DFT total energy = -19.6634 eV per atom
Symmetry = No. 166
Total magnetic moment = 0.000 μB per formula unit



# 3
# YAlAs2

A crystal of YAlAs2 relaxed with PBEsol (meta-GGA SCAN, the Alexandria database).

Structure (POSCAR):
```
YAlAs2
1.0
4.581 0.000 0.000
0.000 4.581 0.000
0.000 0.000 3.701
Y Al As
1 1 2
Cartesian
0.000 0.000 0.000
2.290 2.290 0.000
0.000 2.290 1.851
2.290 0.000 1.851
```

DFT total energy = -19.6378 eV per atom
Symmetry = No. 123
Total magnetic moment = 0.000 μB per formula unit



# 4
# YAlAs2

A crystal of YAlAs2 relaxed with PBEsol (meta-GGA SCAN, the Alexandria database).

Structure (POSCAR):
```
YAlAs2
1.0
3.670 0.000 0.000
0.000 3.670 0.000
0.000 0.000 5.825
Y Al As
1 1 2
Cartesian
0.000 0.000 0.000
0.000 0.000 2.912
1.835 1.835 1.502
1.835 1.835 4.323
```

DFT total energy = -19.5841 eV per atom
Symmetry = No. 123
Total magnetic moment = 0.001 μB per formula unit



# 5
# YAlZnAs2

A crystal of YAlZnAs2 relaxed with PBEsol (meta-GGA SCAN, the Alexandria database).

Structure (POSCAR):
```
YAlZnAs2
1.0
5.308 0.000 0.000
0.000 5.308 0.000
0.000 0.000 5.454
Y Al Zn As
1 1 1 2
Cartesian
0.000 0.000 0.000
2.654 2.654 2.727
0.000 0.000 2.727
0.000 2.654 0.000
2.654 0.000 0.000
```

DFT total energy = -17.3375 eV per atom
Symmetry = No. 123
Total magnetic moment = 0.000 μB per formula unit



# 6
# AlZn2As

A crystal of AlZn2As relaxed with PBEsol (meta-GGA SCAN, the Alexandria database).

Structure (POSCAR):
```
AlZn2As
1.0
0.000 2.672 4.818
2.613 0.000 4.818
2.613 2.672 0.000
Al Zn As
1 2 1
Cartesian
0.000 0.000 0.000
1.307 0.000 2.409
1.307 2.672 2.409
2.613 2.672 4.818
```

DFT total energy = -13.6679 eV per atom
Symmetry = No. 69
Total magnetic moment = 0.000 μB per formula unit



Ordered calculated formation energy results: -0.53; -0.67; -0.64; -0.59; 0.56; 0.08; unit eV/atom.